Below is a geometry-optimized Ac7CoPd4 structure, with properties calculated at the GGA-PBE level.

Unit cell a=4.2861 b=7.5103 c=13.1849 alpha=104.63 beta=90.00 gamma=106.58
Last column: nearest neighbours and their distance in Å.
Fractional coordinates of all 12 atoms:
Ac  0.7455  0.4910  0.3670  1 Co 2.92, 2 Pd 3.09
Ac  0.2722  0.5444  0.6365  2 Co 2.97, 1 Pd 3.06
Ac  0.3419  0.6837  0.9466  5 Pd 3.04-3.27
Ac  0.6523  0.3046  0.0518  5 Pd 3.04-3.31
Ac  0.0325  0.0650  0.7764  1 Co 2.95, 3 Pd 3.10-3.11
Ac  0.9625  0.9250  0.2184  4 Pd 3.05-3.09
Ac  0.4954  0.9908  0.5078  2 Co 2.90, 2 Pd 3.10
Co  0.8872  0.7744  0.5719  6 Ac 2.90-2.97
Pd  0.6947  0.3895  0.8166  5 Ac 3.11-3.31
Pd  0.3028  0.6057  0.1802  5 Ac 3.09-3.27
Pd  0.9973  0.9947  0.9982  6 Ac 3.04-3.10
Pd  0.1156  0.2312  0.4286  6 Ac 3.05-3.10

Calculated values
* formation energy: -51 kJ per mole of atoms
* calculated volume: 392.4 Å³/cell
* theoretical density: 8775 kg/m3

---

Below is a geometry-optimized Ac2CoPd structure, with properties calculated at the GGA-PBE level.

Unit cell a=4.0498 b=4.0498 c=9.2483 alpha=77.35 beta=77.35 gamma=60.00
Last column: nearest neighbours and their distance in Å.
Fractional coordinates of all 4 atoms:
Ac  0.1052  0.1052  0.6844  1 Pd 2.82, 3 Co 2.86
Ac  0.8948  0.8948  0.3156  1 Pd 2.82, 3 Co 2.86
Co  0.5000  0.5000  0.5000  6 Ac 2.86
Pd  0.0000  0.0000  0.0000  2 Ac 2.82

Calculated values
* formation energy: 15 kJ per mole of atoms
* calculated volume: 127.1 Å³/cell
* theoretical density: 8092 kg/m3

---

Below is a geometry-optimized AcPmCoPd structure, with properties calculated at the GGA-PBE level.

Unit cell a=5.1278 b=5.1278 c=5.1278 alpha=60.00 beta=60.00 gamma=60.00
Last column: nearest neighbours and their distance in Å.
Fractional coordinates of all 4 atoms:
Ac  0.5000  0.5000  0.5000  4 Co 3.14, 4 Pd 3.14
Co  0.7500  0.7500  0.7500  4 Ac 3.14, 4 Pm 3.14
Pd  0.2500  0.2500  0.2500  4 Ac 3.14, 4 Pm 3.14
Pm  0.0000  0.0000  0.0000  4 Pd 3.14, 4 Co 3.14

Calculated values
* formation energy: -26 kJ per mole of atoms
* calculated volume: 95.3 Å³/cell
* theoretical density: 9359 kg/m3

---

Below is a geometry-optimized Ac2Pr2CoPd2 structure, with properties calculated at the GGA-PBE level.

Unit cell a=4.1034 b=7.4161 c=7.6605 alpha=65.63 beta=74.47 gamma=90.02
Last column: nearest neighbours and their distance in Å.
Fractional coordinates of all 7 atoms:
Ac  0.2131  0.2366  0.5730  1 Co 2.88, 2 Pd 3.09
Ac  0.7869  0.7634  0.4270  1 Co 2.88, 2 Pd 3.09
Pr  0.4816  0.2427  0.0364  2 Co 2.82, 2 Pd 3.12
Pr  0.5184  0.7573  0.9636  2 Co 2.82, 2 Pd 3.12
Co  0.0000  0.0000  0.0000  4 Pr 2.82, 2 Ac 2.88
Pd  0.1170  0.5628  0.7671  3 Ac 3.09-3.30, 4 Pr 3.12-3.19, 1 Pd 3.15
Pd  0.8830  0.4372  0.2329  3 Ac 3.09-3.30, 4 Pr 3.12-3.19, 1 Pd 3.15

Calculated values
* formation energy: -40 kJ per mole of atoms
* calculated volume: 203.0 Å³/cell
* theoretical density: 8243 kg/m3

---

Below is a geometry-optimized AcPrCoPd structure, with properties calculated at the GGA-PBE level.

Unit cell a=5.1636 b=5.1636 c=5.1636 alpha=60.00 beta=60.00 gamma=60.00
Last column: nearest neighbours and their distance in Å.
Fractional coordinates of all 4 atoms:
Pr  0.7500  0.7500  0.7500  4 Co 3.16, 4 Pd 3.16
Ac  0.2500  0.2500  0.2500  4 Pd 3.16, 4 Co 3.16
Co  0.5000  0.5000  0.5000  4 Ac 3.16, 4 Pr 3.16
Pd  0.0000  0.0000  0.0000  4 Ac 3.16, 4 Pr 3.16

Calculated values
* formation energy: -25 kJ per mole of atoms
* calculated volume: 97.4 Å³/cell
* theoretical density: 9096 kg/m3

---

Below is a geometry-optimized Ac5CoPd2Pt structure, with properties calculated at the GGA-PBE level.

Unit cell a=4.3281 b=9.1706 c=15.5371 alpha=90.00 beta=90.00 gamma=103.65
Last column: nearest neighbours and their distance in Å.
Fractional coordinates of all 18 atoms:
Ac  0.4001  0.8002  0.0167  1 Co 2.75, 1 Pt 3.01
Ac  0.7254  0.4508  0.9122  2 Co 2.96, 1 Pt 3.07, 1 Pd 3.23
Ac  0.4842  0.9685  0.7665  1 Pt 2.95, 4 Pd 3.13-3.21
Ac  0.2414  0.4829  0.6714  2 Co 2.99, 3 Pd 3.17-3.25
Ac  0.9094  0.8189  0.5625  1 Co 2.81, 2 Pt 2.97, 1 Pd 3.10
Ac  0.5999  0.1998  0.5167  1 Co 2.75, 1 Pt 3.01
Ac  0.2746  0.5492  0.4122  2 Co 2.96, 1 Pt 3.07, 1 Pd 3.23
Ac  0.5158  0.0315  0.2665  1 Pt 2.95, 4 Pd 3.13-3.21
Ac  0.7586  0.5171  0.1714  2 Co 2.99, 3 Pd 3.17-3.25
Ac  0.0906  0.1811  0.0625  1 Co 2.81, 2 Pt 2.97, 1 Pd 3.10
Co  0.7531  0.5061  0.5394  6 Ac 2.75-2.99
Co  0.2469  0.4939  0.0394  6 Ac 2.75-2.99
Pd  0.8515  0.7030  0.7633  6 Ac 3.21-3.29
Pd  0.0640  0.1280  0.6539  6 Ac 3.10-3.17
Pd  0.1485  0.2970  0.2633  6 Ac 3.21-3.29
Pd  0.9360  0.8720  0.1539  6 Ac 3.10-3.17
Pt  0.5548  0.1095  0.9381  5 Ac 2.95-3.07
Pt  0.4452  0.8905  0.4381  5 Ac 2.95-3.07

Calculated values
* formation energy: -47 kJ per mole of atoms
* calculated volume: 599.3 Å³/cell
* theoretical density: 8877 kg/m3

---

Below is a geometry-optimized Ac6CoPd2Rh structure, with properties calculated at the GGA-PBE level.

Unit cell a=7.5357 b=7.5343 c=8.1923 alpha=62.62 beta=62.61 gamma=60.10
Last column: nearest neighbours and their distance in Å.
Fractional coordinates of all 10 atoms:
Ac  0.5841  0.2240  0.2528  1 Co 2.93, 1 Rh 3.05, 2 Pd 3.09
Ac  0.2247  0.9392  0.2528  1 Co 2.93, 1 Rh 3.05, 2 Pd 3.08-3.09
Ac  0.9397  0.5826  0.2533  1 Co 2.93, 1 Rh 3.05, 2 Pd 3.09
Ac  0.4303  0.7202  0.7575  1 Co 2.98, 1 Rh 3.00, 2 Pd 3.08-3.10
Ac  0.7191  0.0929  0.7575  1 Co 2.98, 1 Rh 3.00, 2 Pd 3.08-3.10
Ac  0.0916  0.4307  0.7580  1 Co 2.98, 1 Rh 3.00, 2 Pd 3.08-3.10
Co  0.3274  0.3273  0.0180  6 Ac 2.93-2.98
Pd  0.5097  0.5103  0.4695  6 Ac 3.08-3.10
Pd  0.0081  0.0074  0.9761  6 Ac 3.08-3.09
Rh  0.8269  0.8269  0.5197  6 Ac 3.00-3.05

Calculated values
* formation energy: -44 kJ per mole of atoms
* calculated volume: 341.6 Å³/cell
* theoretical density: 8442 kg/m3

---

Below is a geometry-optimized Ac6CoPd2Ru structure, with properties calculated at the GGA-PBE level.

Unit cell a=7.5117 b=7.5137 c=8.1635 alpha=62.56 beta=62.57 gamma=59.98
Last column: nearest neighbours and their distance in Å.
Fractional coordinates of all 10 atoms:
Ac  0.5827  0.2234  0.2548  1 Co 2.93, 1 Ru 3.02, 2 Pd 3.08
Ac  0.2234  0.9393  0.2547  1 Co 2.93, 1 Ru 3.02, 2 Pd 3.08
Ac  0.9394  0.5824  0.2552  1 Co 2.93, 1 Ru 3.02, 2 Pd 3.08
Ac  0.4356  0.7218  0.7555  1 Ru 2.95, 1 Co 3.00, 2 Pd 3.09-3.10
Ac  0.7218  0.0868  0.7556  1 Ru 2.95, 1 Co 3.00, 2 Pd 3.09
Ac  0.0869  0.4358  0.7559  1 Ru 2.95, 1 Co 2.99, 2 Pd 3.09
Co  0.3273  0.3277  0.0170  6 Ac 2.93-3.00
Pd  0.5095  0.5097  0.4709  6 Ac 3.08-3.10
Pd  0.0074  0.0072  0.9780  6 Ac 3.08-3.09
Ru  0.8276  0.8274  0.5176  6 Ac 2.95-3.02

Calculated values
* formation energy: -33 kJ per mole of atoms
* calculated volume: 337.8 Å³/cell
* theoretical density: 8528 kg/m3

---

Below is a geometry-optimized AcTbCoPd structure, with properties calculated at the GGA-PBE level.

Unit cell a=5.0810 b=5.0810 c=5.0810 alpha=60.00 beta=60.00 gamma=60.00
Last column: nearest neighbours and their distance in Å.
Fractional coordinates of all 4 atoms:
Co  0.5000  0.5000  0.5000  4 Ac 3.11, 4 Tb 3.11
Ac  0.7500  0.7500  0.7500  4 Co 3.11, 4 Pd 3.11
Tb  0.2500  0.2500  0.2500  4 Co 3.11, 4 Pd 3.11
Pd  0.0000  0.0000  0.0000  4 Ac 3.11, 4 Tb 3.11

Calculated values
* formation energy: -29 kJ per mole of atoms
* calculated volume: 92.8 Å³/cell
* theoretical density: 9869 kg/m3

---

Below is a geometry-optimized AcPm2Co structure, with properties calculated at the GGA-PBE level.

Unit cell a=3.5823 b=3.5823 c=9.3518 alpha=90.00 beta=90.00 gamma=90.00
Last column: nearest neighbours and their distance in Å.
Fractional coordinates of all 4 atoms:
Ac  0.5000  0.5000  0.5000  4 Ac 3.58, 8 Pm 3.96
Co  0.5000  0.5000  0.0000  8 Pm 3.01
Pm  0.0000  0.0000  0.8261  4 Co 3.01, 1 Pm 3.25
Pm  0.0000  0.0000  0.1739  4 Co 3.01, 1 Pm 3.25

Calculated values
* formation energy: 5 kJ per mole of atoms
* calculated volume: 120.0 Å³/cell
* theoretical density: 7969 kg/m3
* relative energy among the computed polymorphs: 106.5 meV/atom

---

Below is a geometry-optimized AcPm7Co2 structure, with properties calculated at the GGA-PBE level.

Unit cell a=5.2606 b=8.5389 c=8.5389 alpha=119.00 beta=90.00 gamma=90.00
Last column: nearest neighbours and their distance in Å.
Fractional coordinates of all 10 atoms:
Ac  0.0000  0.0000  0.0000  8 Pm 3.74
Pm  0.0000  0.7045  0.2955  2 Co 2.63
Pm  0.0000  0.2955  0.7045  2 Co 2.63
Pm  0.5000  0.0569  0.3342  2 Co 2.79-2.92
Pm  0.5000  0.9431  0.6658  2 Co 2.79-2.92
Pm  0.5000  0.3342  0.0569  2 Co 2.79-2.92
Pm  0.5000  0.6658  0.9431  2 Co 2.79-2.92
Pm  0.5000  0.5000  0.5000  2 Co 2.94
Co  0.5000  0.6998  0.3002  7 Pm 2.63-2.94
Co  0.5000  0.3002  0.6998  7 Pm 2.63-2.94

Calculated values
* formation energy: 12 kJ per mole of atoms
* calculated volume: 335.5 Å³/cell
* theoretical density: 6731 kg/m3

---

Below is a geometry-optimized AcPm2Co structure, with properties calculated at the GGA-PBE level.

Unit cell a=3.8564 b=3.8564 c=10.8869 alpha=79.80 beta=79.80 gamma=60.00
Last column: nearest neighbours and their distance in Å.
Fractional coordinates of all 4 atoms:
Ac  0.0000  0.0000  0.0000  2 Pm 3.79, 6 Ac 3.86
Co  0.5000  0.5000  0.5000  6 Pm 2.71
Pm  0.1185  0.1185  0.6444  3 Co 2.71
Pm  0.8815  0.8815  0.3556  3 Co 2.71

Calculated values
* formation energy: 13 kJ per mole of atoms
* calculated volume: 137.3 Å³/cell
* theoretical density: 6968 kg/m3
* relative energy among the computed polymorphs: 190.9 meV/atom